Computed, not measured: BaBeAsSe2 after structural relaxation at the PBE level of DFT.

For the total energy, the calculation gives -4.047 eV/atom. The relative energy among the computed polymorphs comes out at 0 meV/atom. The calculation puts the formation energy (no corrections) at -57 kJ per mole of atoms. The size of the total moment is 0.00 μB/cell. The density of states at the Fermi level comes out at 1.51 states/eV/cell.

The structure belongs to space group P4/mmm (No. 123); the cell edges are 5.202, 5.202 and 4.363 Å and the angles 90.00°, 90.00° and 90.00°. The asymmetric unit holds Ba at (0.000, 0.000, 0.000), Be at (0.500, 0.500, 0.500), As at (0.500, 0.500, 0.000) and Se at (0.000, 0.500, 0.500).